{"formula": "FeCoF2", "functional": "PBE with a Hubbard U", "state": "optimized geometry", "cell": [[1.482, 0.856, 7.456], [-1.482, 0.856, 7.456], [0.000, -1.711, 7.456]], "species": ["Fe", "Co", "F", "F"], "fractional_positions": [[0.000, 0.000, 0.000], [0.500, 0.500, 0.500], [0.388, 0.388, 0.388], [0.612, 0.612, 0.612]], "volume_a3_per_atom": 14.2, "crystal_system": "trigonal", "de_polymorph_mev_per_atom": 23.9, "dft_energy_ev_per_atom": -4.5555}

---

{"formula": "FeCoF2", "functional": "PBE with a Hubbard U", "state": "optimized geometry", "cell": [[0.000, 2.854, 2.854], [2.854, 0.000, 2.854], [2.854, 2.854, 0.000]], "species": ["Fe", "Co", "F", "F"], "fractional_positions": [[0.000, 0.000, 0.000], [0.500, 0.500, 0.500], [0.250, 0.250, 0.250], [0.750, 0.750, 0.750]], "volume_a3_per_atom": 11.6, "crystal_system": "cubic", "de_polymorph_mev_per_atom": 293.0, "dft_energy_ev_per_atom": -4.2863}

---

{"formula": "Fe2CoF2", "functional": "PBE with a Hubbard U", "state": "optimized geometry", "cell": [[6.715, 0.000, 0.000], [0.000, 6.715, 0.000], [0.000, 0.000, 2.729]], "species": ["Fe", "Fe", "Fe", "Fe", "Co", "Co", "F", "F", "F", "F"], "fractional_positions": [[0.185, 0.315, 0.000], [0.315, 0.815, 0.000], [0.685, 0.185, 0.000], [0.815, 0.685, 0.000], [0.000, 0.000, 0.500], [0.500, 0.500, 0.500], [0.126, 0.626, 0.500], [0.374, 0.126, 0.500], [0.626, 0.874, 0.500], [0.874, 0.374, 0.500]], "volume_a3_per_atom": 12.3, "crystal_system": "tetragonal", "de_polymorph_mev_per_atom": 58.3, "dft_energy_ev_per_atom": -4.3697}

---

{"formula": "FeCo2F6", "functional": "PBE with a Hubbard U", "state": "optimized geometry", "cell": [[5.290, 0.000, 0.000], [-2.645, 4.581, 0.000], [0.000, 0.000, 4.501]], "species": ["Fe", "Co", "Co", "F", "F", "F", "F", "F", "F"], "fractional_positions": [[0.000, 0.000, 0.000], [0.333, 0.667, 0.500], [0.667, 0.333, 0.500], [0.000, 0.337, 0.741], [0.000, 0.663, 0.259], [0.337, 0.000, 0.741], [0.337, 0.337, 0.259], [0.663, 0.000, 0.259], [0.663, 0.663, 0.741]], "volume_a3_per_atom": 12.1, "crystal_system": "trigonal", "dft_energy_ev_per_atom": -5.2169}

---

{"formula": "FeCoF2", "functional": "PBE with a Hubbard U", "state": "optimized geometry", "cell": [[1.439, 0.831, 6.967], [-1.439, 0.831, 6.967], [0.000, -1.662, 6.967]], "species": ["Fe", "Co", "F", "F"], "fractional_positions": [[0.000, 0.000, 0.000], [0.500, 0.500, 0.500], [0.099, 0.099, 0.099], [0.901, 0.901, 0.901]], "volume_a3_per_atom": 12.5, "crystal_system": "trigonal", "de_polymorph_mev_per_atom": 0.0, "dft_energy_ev_per_atom": -4.5794}

---

{"formula": "Fe2CoF", "functional": "PBE with a Hubbard U", "state": "optimized geometry", "cell": [[0.000, 3.011, 3.011], [3.011, 0.000, 3.011], [3.011, 3.011, 0.000]], "species": ["Fe", "Fe", "Co", "F"], "fractional_positions": [[0.250, 0.250, 0.250], [0.750, 0.750, 0.750], [0.000, 0.000, 0.000], [0.500, 0.500, 0.500]], "volume_a3_per_atom": 13.6, "crystal_system": "cubic", "dft_energy_ev_per_atom": -4.1635}